# 1
A plane-wave DFT calculation with PBE-GGA was carried out for an optimized crystal structure of NaErCdS3.

uncorrected energy = -4.53 eV per atom
magnetic moment = 0.0 Bohr magnetons per cell
symmetry = P2_1/m
V = 322 Å³/cell

Unit cell a=7.827 b=4.018 c=10.784 alpha=90.00 beta=108.48 gamma=90.00
Positions (direct):
Cd 0.946 0.750 0.384
Cd 0.054 0.250 0.616
Er 0.674 0.250 0.141
Er 0.326 0.750 0.859
Na 0.185 0.250 0.143
Na 0.815 0.750 0.857
S 0.436 0.750 0.124
S 0.923 0.750 0.146
S 0.757 0.250 0.415
S 0.243 0.750 0.585
S 0.077 0.250 0.854
S 0.564 0.250 0.876

---

# 2
A plane-wave DFT calculation with PBE-GGA was carried out for an optimized crystal structure of HoPOsO.

uncorrected energy = -7.83 eV per atom
magnetic moment = 0.0 Bohr magnetons per cell
symmetry = Pmc2_1
V = 120 Å³/cell

Unit cell a=4.403 b=4.303 c=6.314 alpha=90.00 beta=90.00 gamma=90.00
Positions (direct):
Ho 0.000 0.697 0.091
Ho 0.000 0.303 0.591
O 0.000 0.816 0.437
O 0.000 0.184 0.937
Os 0.500 0.834 0.439
Os 0.500 0.166 0.939
P 0.500 0.333 0.288
P 0.500 0.667 0.788

---

Please write out number 1 again, unchanged.
A plane-wave DFT calculation with PBE-GGA was carried out for an optimized crystal structure of NaErCdS3.

uncorrected energy = -4.53 eV per atom
magnetic moment = 0.0 Bohr magnetons per cell
symmetry = P2_1/m
V = 322 Å³/cell

Unit cell a=7.827 b=4.018 c=10.784 alpha=90.00 beta=108.48 gamma=90.00
Positions (direct):
Cd 0.946 0.750 0.384
Cd 0.054 0.250 0.616
Er 0.674 0.250 0.141
Er 0.326 0.750 0.859
Na 0.185 0.250 0.143
Na 0.815 0.750 0.857
S 0.436 0.750 0.124
S 0.923 0.750 0.146
S 0.757 0.250 0.415
S 0.243 0.750 0.585
S 0.077 0.250 0.854
S 0.564 0.250 0.876

---

Q: magnetic moment of number 1 (NaErCdS3)?
A: 0.0 Bohr magnetons per cell

---

Q: Look up the magnetic moment of the first one.
A: 0.0 Bohr magnetons per cell